# Ag2AuS2 (PBE, optimized geometry)
data_Ag2AuS2
_cell_length_a 7.2370
_cell_length_b 7.2370
_cell_length_c 7.4613
_cell_angle_alpha 110.41
_cell_angle_beta 110.41
_cell_angle_gamma 39.43
_space_group_name_H-M_alt 'P 1'
_space_group_IT_number 1
loop_
_space_group_symop_operation_xyz
'x,y,z'
loop_
_atom_site_label
_atom_site_fract_x
_atom_site_fract_y
_atom_site_fract_z
_atom_site_occupancy
Ag1 0.0727 0.0727 0.3768 1
Ag2 0.3306 0.3306 0.9069 1
Ag3 0.6694 0.6694 0.0931 1
Ag4 0.9273 0.9273 0.6232 1
Au1 0.3252 0.3252 0.4031 1
Au2 0.6748 0.6748 0.5969 1
S1 0.2058 0.2058 0.0853 1
S2 0.4483 0.4483 0.7194 1
S3 0.5517 0.5517 0.2806 1
S4 0.7942 0.7942 0.9147 1
# Space-group type ... No. 12
# Total magnetic moment ... 0.0 μB per cell
# Relative energy among the computed polymorphs ... 21 meV per atom
# Raw formation energy ... 0.0022 eV per atom

=====

# NaLiPm2O4 (PBE, optimized geometry)
data_NaLiPm2O4
_cell_length_a 5.7732
_cell_length_b 3.5360
_cell_length_c 6.1295
_cell_angle_alpha 90.00
_cell_angle_beta 110.86
_cell_angle_gamma 90.00
_space_group_name_H-M_alt 'P 1'
_space_group_IT_number 1
loop_
_space_group_symop_operation_xyz
'x,y,z'
loop_
_atom_site_label
_atom_site_fract_x
_atom_site_fract_y
_atom_site_fract_z
_atom_site_occupancy
Na1 0.0000 0.0000 0.0000 1
Li1 0.0000 0.5000 0.5000 1
Pm1 0.5000 0.0000 0.5000 1
Pm2 0.5000 0.5000 0.0000 1
O1 0.2728 0.0000 0.7554 1
O2 0.2758 0.5000 0.2597 1
O3 0.7242 0.5000 0.7403 1
O4 0.7272 0.0000 0.2446 1
# Space-group type ... No. 10
# Total magnetic moment ... 0.0 μB per cell
# Raw formation energy ... -2.6522 eV per atom

=====

# ZrTlCl2F (PBE, optimized geometry)
data_ZrTlCl2F
_cell_length_a 5.2219
_cell_length_b 5.2219
_cell_length_c 5.9853
_cell_angle_alpha 90.00
_cell_angle_beta 90.00
_cell_angle_gamma 90.00
_space_group_name_H-M_alt 'P 1'
_space_group_IT_number 1
loop_
_space_group_symop_operation_xyz
'x,y,z'
loop_
_atom_site_label
_atom_site_fract_x
_atom_site_fract_y
_atom_site_fract_z
_atom_site_occupancy
Zr1 0.0000 0.0000 0.0000 1
Tl1 0.0000 0.0000 0.5000 1
Cl1 0.0000 0.5000 0.5000 1
Cl2 0.5000 0.0000 0.5000 1
F1 0.5000 0.5000 0.0000 1
# Space-group type ... No. 123
# Total magnetic moment ... 1.4 μB per cell
# Raw formation energy ... 0.0751 eV per atom

=====

# PtRh2 (PBE, optimized geometry)
data_PtRh2
_cell_length_a 5.0083
_cell_length_b 5.0083
_cell_length_c 5.0083
_cell_angle_alpha 105.93
_cell_angle_beta 105.93
_cell_angle_gamma 116.81
_space_group_name_H-M_alt 'P 1'
_space_group_IT_number 1
loop_
_space_group_symop_operation_xyz
'x,y,z'
loop_
_atom_site_label
_atom_site_fract_x
_atom_site_fract_y
_atom_site_fract_z
_atom_site_occupancy
Pt1 0.2500 0.2500 0.0000 1
Pt2 0.7500 0.7500 0.0000 1
Rh1 0.1415 0.6415 0.7830 1
Rh2 0.3585 0.1415 0.5000 1
Rh3 0.6415 0.8585 0.5000 1
Rh4 0.8585 0.3585 0.2170 1
# Space-group type ... No. 140
# Total magnetic moment ... 1.8 μB per cell
# Relative energy among the computed polymorphs ... 378 meV per atom

=====

# GeSb3Pt (PBE, optimized geometry)
data_GeSb3Pt
_cell_length_a 5.1949
_cell_length_b 5.1949
_cell_length_c 5.1949
_cell_angle_alpha 90.00
_cell_angle_beta 90.00
_cell_angle_gamma 90.00
_space_group_name_H-M_alt 'P 1'
_space_group_IT_number 1
loop_
_space_group_symop_operation_xyz
'x,y,z'
loop_
_atom_site_label
_atom_site_fract_x
_atom_site_fract_y
_atom_site_fract_z
_atom_site_occupancy
Ge1 0.0000 0.0000 0.0000 1
Sb1 0.0000 0.0000 0.5000 1
Sb2 0.0000 0.5000 0.0000 1
Sb3 0.5000 0.0000 0.0000 1
Pt1 0.5000 0.5000 0.5000 1
# Space-group type ... No. 221
# Total magnetic moment ... 0.0 μB per cell
# Relative energy among the computed polymorphs ... 479 meV per atom
# Raw formation energy ... 0.9872 eV per atom

=====

# Lu2HAu (PBE, optimized geometry)
data_Lu2HAu
_cell_length_a 6.7599
_cell_length_b 6.7599
_cell_length_c 6.7599
_cell_angle_alpha 32.53
_cell_angle_beta 32.53
_cell_angle_gamma 32.53
_space_group_name_H-M_alt 'P 1'
_space_group_IT_number 1
loop_
_space_group_symop_operation_xyz
'x,y,z'
loop_
_atom_site_label
_atom_site_fract_x
_atom_site_fract_y
_atom_site_fract_z
_atom_site_occupancy
Lu1 0.2369 0.2369 0.2369 1
Lu2 0.7631 0.7631 0.7631 1
H1 0.5000 0.5000 0.5000 1
Au1 0.0000 0.0000 0.0000 1
# Space-group type ... No. 166
# Uncorrected energy ... -17.5 eV per cell
# Total magnetic moment ... 0.0 μB per cell

=====

# Pu2Ni3Ge4 (PBE, optimized geometry)
data_Pu2Ni3Ge4
_cell_length_a 7.7828
_cell_length_b 7.7828
_cell_length_c 7.3361
_cell_angle_alpha 90.00
_cell_angle_beta 90.00
_cell_angle_gamma 138.18
_space_group_name_H-M_alt 'P 1'
_space_group_IT_number 1
loop_
_space_group_symop_operation_xyz
'x,y,z'
loop_
_atom_site_label
_atom_site_fract_x
_atom_site_fract_y
_atom_site_fract_z
_atom_site_occupancy
Pu1 0.1067 0.8933 0.9032 1
Pu2 0.3933 0.6067 0.4032 1
Pu3 0.6067 0.3933 0.5968 1
Pu4 0.8933 0.1067 0.0968 1
Ni1 0.0000 0.0000 0.5000 1
Ni2 0.0236 0.4764 0.7500 1
Ni3 0.4764 0.0236 0.2500 1
Ni4 0.5000 0.5000 0.0000 1
Ni5 0.5236 0.9764 0.7500 1
Ni6 0.9764 0.5236 0.2500 1
Ge1 0.1847 0.8153 0.5217 1
Ge2 0.1892 0.3108 0.7500 1
Ge3 0.3108 0.1892 0.2500 1
Ge4 0.3153 0.6847 0.0217 1
Ge5 0.6847 0.3153 0.9783 1
Ge6 0.6892 0.8108 0.7500 1
Ge7 0.8108 0.6892 0.2500 1
Ge8 0.8153 0.1847 0.4783 1
# Space-group type ... No. 64
# Uncorrected energy ... -137.0 eV per cell
# Total magnetic moment ... 21.3 μB per cell

=====

# Sm6Ge2SBr3 (PBE, optimized geometry)
data_Sm6Ge2SBr3
_cell_length_a 7.2191
_cell_length_b 7.2191
_cell_length_c 7.6446
_cell_angle_alpha 99.08
_cell_angle_beta 99.08
_cell_angle_gamma 120.01
_space_group_name_H-M_alt 'P 1'
_space_group_IT_number 1
loop_
_space_group_symop_operation_xyz
'x,y,z'
loop_
_atom_site_label
_atom_site_fract_x
_atom_site_fract_y
_atom_site_fract_z
_atom_site_occupancy
Sm1 0.0683 0.3940 0.2059 1
Sm2 0.2554 0.2554 0.7935 1
Sm3 0.3940 0.0683 0.2059 1
Sm4 0.6060 0.9317 0.7941 1
Sm5 0.7446 0.7446 0.2065 1
Sm6 0.9317 0.6060 0.7941 1
Ge1 0.3338 0.6662 0.0000 1
Ge2 0.6662 0.3338 0.0000 1
S1 0.0000 0.0000 0.0000 1
Br1 0.1706 0.8294 0.5000 1
Br2 0.5000 0.5000 0.5000 1
Br3 0.8294 0.1706 0.5000 1
# Space-group type ... No. 12
# Total magnetic moment ... 0.0 μB per cell
# Raw formation energy ... -1.2936 eV per atom

=====

# NbCd3As (PBE, optimized geometry)
data_NbCd3As
_cell_length_a 5.3650
_cell_length_b 5.3650
_cell_length_c 5.3650
_cell_angle_alpha 90.00
_cell_angle_beta 90.00
_cell_angle_gamma 90.00
_space_group_name_H-M_alt 'P 1'
_space_group_IT_number 1
loop_
_space_group_symop_operation_xyz
'x,y,z'
loop_
_atom_site_label
_atom_site_fract_x
_atom_site_fract_y
_atom_site_fract_z
_atom_site_occupancy
Nb1 0.0000 0.0000 0.0000 1
Cd1 0.0000 0.0000 0.5000 1
Cd2 0.0000 0.5000 0.0000 1
Cd3 0.5000 0.0000 0.0000 1
As1 0.5000 0.5000 0.5000 1
# Space-group type ... No. 221
# Total magnetic moment ... 0.0 μB per cell
# Relative energy among the computed polymorphs ... 200 meV per atom

=====

# Mn2NiMo (PBE, optimized geometry)
data_Mn2NiMo
_cell_length_a 4.4250
_cell_length_b 4.4250
_cell_length_c 4.5358
_cell_angle_alpha 98.22
_cell_angle_beta 98.22
_cell_angle_gamma 34.00
_space_group_name_H-M_alt 'P 1'
_space_group_IT_number 1
loop_
_space_group_symop_operation_xyz
'x,y,z'
loop_
_atom_site_label
_atom_site_fract_x
_atom_site_fract_y
_atom_site_fract_z
_atom_site_occupancy
Mn1 0.2419 0.2419 0.2252 1
Mn2 0.7581 0.7581 0.7748 1
Ni1 0.5000 0.5000 0.0000 1
Mo1 0.0000 0.0000 0.5000 1
# Space-group type ... No. 12
# Uncorrected energy ... -34.4 eV per cell
# Total magnetic moment ... 2.0 μB per cell

=====

# Ce2SmSn3 (PBE, optimized geometry)
data_Ce2SmSn3
_cell_length_a 9.2318
_cell_length_b 9.2318
_cell_length_c 3.2714
_cell_angle_alpha 90.00
_cell_angle_beta 90.00
_cell_angle_gamma 143.14
_space_group_name_H-M_alt 'P 1'
_space_group_IT_number 1
loop_
_space_group_symop_operation_xyz
'x,y,z'
loop_
_atom_site_label
_atom_site_fract_x
_atom_site_fract_y
_atom_site_fract_z
_atom_site_occupancy
Ce1 0.1653 0.8347 0.0000 1
Ce2 0.8347 0.1653 0.0000 1
Sm1 0.5000 0.5000 0.0000 1
Sn1 0.0000 0.0000 0.5000 1
Sn2 0.3331 0.6669 0.5000 1
Sn3 0.6669 0.3331 0.5000 1
# Space-group type ... No. 65
# Total magnetic moment ... 2.0 μB per cell
# Relative energy among the computed polymorphs ... 0 meV per atom

=====

# Sr2NpTl3S6 (PBE, optimized geometry)
data_Sr2NpTl3S6
_cell_length_a 7.3245
_cell_length_b 7.3245
_cell_length_c 7.7478
_cell_angle_alpha 98.94
_cell_angle_beta 98.94
_cell_angle_gamma 119.76
_space_group_name_H-M_alt 'P 1'
_space_group_IT_number 1
loop_
_space_group_symop_operation_xyz
'x,y,z'
loop_
_atom_site_label
_atom_site_fract_x
_atom_site_fract_y
_atom_site_fract_z
_atom_site_occupancy
Sr1 0.1660 0.8340 0.0000 1
Sr2 0.8340 0.1660 0.0000 1
Np1 0.5000 0.5000 0.0000 1
Tl1 0.0000 0.0000 0.5000 1
Tl2 0.3346 0.6654 0.5000 1
Tl3 0.6654 0.3346 0.5000 1
S1 0.1383 0.4322 0.7983 1
S2 0.2739 0.2739 0.2123 1
S3 0.4322 0.1383 0.7983 1
S4 0.5678 0.8617 0.2017 1
S5 0.7261 0.7261 0.7877 1
S6 0.8617 0.5678 0.2017 1
# Space-group type ... No. 12
# Total magnetic moment ... 2.0 μB per cell
# Raw formation energy ... -1.2083 eV per atom

=====

# Ac4PPbS2 (PBE, optimized geometry)
data_Ac4PPbS2
_cell_length_a 7.7230
_cell_length_b 4.5177
_cell_length_c 7.8677
_cell_angle_alpha 90.00
_cell_angle_beta 109.87
_cell_angle_gamma 90.00
_space_group_name_H-M_alt 'P 1'
_space_group_IT_number 1
loop_
_space_group_symop_operation_xyz
'x,y,z'
loop_
_atom_site_label
_atom_site_fract_x
_atom_site_fract_y
_atom_site_fract_z
_atom_site_occupancy
Ac1 0.2402 0.0000 0.2345 1
Ac2 0.2494 0.5000 0.7598 1
Ac3 0.7506 0.5000 0.2402 1
Ac4 0.7598 0.0000 0.7655 1
P1 0.5000 0.0000 0.0000 1
Pb1 0.5000 0.5000 0.5000 1
S1 0.0000 0.0000 0.5000 1
S2 0.0000 0.5000 0.0000 1
# Space-group type ... No. 10
# Total magnetic moment ... 0.0 μB per cell
# Raw formation energy ... -1.4704 eV per atom

=====

# Na2MnTe2S6 (PBE, optimized geometry)
data_Na2MnTe2S6
_cell_length_a 6.5525
_cell_length_b 6.5525
_cell_length_c 7.0884
_cell_angle_alpha 102.09
_cell_angle_beta 102.09
_cell_angle_gamma 110.54
_space_group_name_H-M_alt 'P 1'
_space_group_IT_number 1
loop_
_space_group_symop_operation_xyz
'x,y,z'
loop_
_atom_site_label
_atom_site_fract_x
_atom_site_fract_y
_atom_site_fract_z
_atom_site_occupancy
Na1 0.1792 0.8208 0.0000 1
Na2 0.8208 0.1792 0.0000 1
Mn1 0.0000 0.0000 0.5000 1
Te1 0.3316 0.6684 0.5000 1
Te2 0.6684 0.3316 0.5000 1
S1 0.0411 0.3524 0.7081 1
S2 0.2012 0.2012 0.3002 1
S3 0.3524 0.0411 0.7081 1
S4 0.6476 0.9589 0.2919 1
S5 0.7988 0.7988 0.6998 1
S6 0.9589 0.6476 0.2919 1
# Space-group type ... No. 12
# Total magnetic moment ... 2.9 μB per cell
# Raw formation energy ... -0.4076 eV per atom

=====

# CaPr2OsN4 (PBE, optimized geometry)
data_CaPr2OsN4
_cell_length_a 6.5003
_cell_length_b 6.5003
_cell_length_c 12.0825
_cell_angle_alpha 90.00
_cell_angle_beta 90.00
_cell_angle_gamma 148.42
_space_group_name_H-M_alt 'P 1'
_space_group_IT_number 1
loop_
_space_group_symop_operation_xyz
'x,y,z'
loop_
_atom_site_label
_atom_site_fract_x
_atom_site_fract_y
_atom_site_fract_z
_atom_site_occupancy
Ca1 0.1355 0.8645 0.7500 1
Ca2 0.8645 0.1355 0.2500 1
Pr1 0.3688 0.6312 0.5332 1
Pr2 0.3688 0.6312 0.9668 1
Pr3 0.6312 0.3688 0.0332 1
Pr4 0.6312 0.3688 0.4668 1
Os1 0.1484 0.8516 0.2500 1
Os2 0.8516 0.1484 0.7500 1
N1 0.0000 0.0000 0.0000 1
N2 0.0000 0.0000 0.5000 1
N3 0.2619 0.7381 0.1345 1
N4 0.2619 0.7381 0.3655 1
N5 0.4175 0.5825 0.7500 1
N6 0.5825 0.4175 0.2500 1
N7 0.7381 0.2619 0.6345 1
N8 0.7381 0.2619 0.8655 1
# Space-group type ... No. 63
# Total magnetic moment ... 0.0 μB per cell
# Raw formation energy ... -0.6251 eV per atom

=====

# KCa2Ta (PBE, optimized geometry)
data_KCa2Ta
_cell_length_a 3.2898
_cell_length_b 3.2898
_cell_length_c 12.2939
_cell_angle_alpha 90.00
_cell_angle_beta 90.00
_cell_angle_gamma 90.00
_space_group_name_H-M_alt 'P 1'
_space_group_IT_number 1
loop_
_space_group_symop_operation_xyz
'x,y,z'
loop_
_atom_site_label
_atom_site_fract_x
_atom_site_fract_y
_atom_site_fract_z
_atom_site_occupancy
K1 0.0000 0.0000 0.0000 1
Ca1 0.0000 0.0000 0.4272 1
Ca2 0.5000 0.5000 0.6900 1
Ta1 0.5000 0.5000 0.2437 1
# Space-group type ... No. 99
# Total magnetic moment ... 0.7 μB per cell
# Relative energy among the computed polymorphs ... 183 meV per atom

=====

# KPbF2 (PBE, optimized geometry)
data_KPbF2
_cell_length_a 5.7208
_cell_length_b 5.7208
_cell_length_c 5.3020
_cell_angle_alpha 90.01
_cell_angle_beta 90.01
_cell_angle_gamma 105.58
_space_group_name_H-M_alt 'P 1'
_space_group_IT_number 1
loop_
_space_group_symop_operation_xyz
'x,y,z'
loop_
_atom_site_label
_atom_site_fract_x
_atom_site_fract_y
_atom_site_fract_z
_atom_site_occupancy
K1 0.2487 0.2487 0.0038 1
K2 0.7513 0.7513 0.9962 1
Pb1 0.2588 0.7412 0.5000 1
Pb2 0.7412 0.2588 0.5000 1
F1 0.2558 0.7442 0.0000 1
F2 0.2991 0.2991 0.5058 1
F3 0.7009 0.7009 0.4942 1
F4 0.7442 0.2558 0.0000 1
# Space-group type ... No. 12
# Total magnetic moment ... 0.0 μB per cell
# Relative energy among the computed polymorphs ... 182 meV per atom
# Raw formation energy ... -1.9541 eV per atom

=====

# Ca2HfMgNb (PBE, optimized geometry)
data_Ca2HfMgNb
_cell_length_a 5.2904
_cell_length_b 5.2904
_cell_length_c 5.4029
_cell_angle_alpha 90.00
_cell_angle_beta 90.00
_cell_angle_gamma 90.00
_space_group_name_H-M_alt 'P 1'
_space_group_IT_number 1
loop_
_space_group_symop_operation_xyz
'x,y,z'
loop_
_atom_site_label
_atom_site_fract_x
_atom_site_fract_y
_atom_site_fract_z
_atom_site_occupancy
Ca1 0.0000 0.5000 0.0000 1
Ca2 0.5000 0.0000 0.0000 1
Hf1 0.0000 0.0000 0.5000 1
Mg1 0.0000 0.0000 0.0000 1
Nb1 0.5000 0.5000 0.5000 1
# Space-group type ... No. 123
# Uncorrected energy ... -18.3 eV per cell
# Total magnetic moment ... 1.0 μB per cell

=====

# CeLuCuHg (PBE, optimized geometry)
data_CeLuCuHg
_cell_length_a 5.1330
_cell_length_b 5.1330
_cell_length_c 5.1330
_cell_angle_alpha 60.00
_cell_angle_beta 60.00
_cell_angle_gamma 60.00
_space_group_name_H-M_alt 'P 1'
_space_group_IT_number 1
loop_
_space_group_symop_operation_xyz
'x,y,z'
loop_
_atom_site_label
_atom_site_fract_x
_atom_site_fract_y
_atom_site_fract_z
_atom_site_occupancy
Ce1 0.0000 0.0000 0.0000 1
Lu1 0.5000 0.5000 0.5000 1
Cu1 0.7500 0.7500 0.7500 1
Hg1 0.2500 0.2500 0.2500 1
# Space-group type ... No. 216
# Uncorrected energy ... -15.7 eV per cell
# Total magnetic moment ... 0.7 μB per cell

=====

# Hf6CdRh (PBE, optimized geometry)
data_Hf6CdRh
_cell_length_a 6.3377
_cell_length_b 6.3377
_cell_length_c 5.9483
_cell_angle_alpha 115.69
_cell_angle_beta 115.69
_cell_angle_gamma 100.72
_space_group_name_H-M_alt 'P 1'
_space_group_IT_number 1
loop_
_space_group_symop_operation_xyz
'x,y,z'
loop_
_atom_site_label
_atom_site_fract_x
_atom_site_fract_y
_atom_site_fract_z
_atom_site_occupancy
Hf1 0.0074 0.0074 0.2545 1
Hf2 0.0231 0.4826 0.7503 1
Hf3 0.4826 0.0231 0.7503 1
Hf4 0.5174 0.9769 0.2497 1
Hf5 0.9769 0.5174 0.2497 1
Hf6 0.9926 0.9926 0.7455 1
Cd1 0.5000 0.5000 0.5000 1
Rh1 0.5000 0.5000 0.0000 1
# Space-group type ... No. 12
# Uncorrected energy ... -67.2 eV per cell
# Total magnetic moment ... 0.0 μB per cell